# 1
This record from the Alexandria database describes Hf2PaTc3 after structural relaxation. The functional is PBE-GGA.

Properties
- Formation enthalpy at 0 K: -0.443 eV/atom
- Magnetic moment: 0.0 μB per cell

a = 4.7131 Å, b = 14.0834 Å, c = 6.6174 Å
α = 90.00°, β = 90.00°, γ = 90.00°
Space group Cmmm (No. 65)
Unique sites:
1 Hf 0.0000 0.0000 0.0000 [2 per cell]
2 Hf 0.0000 0.0000 0.5000 [2 per cell]
3 Hf 0.0000 0.3352 0.0000 [4 per cell]
4 Pa 0.0000 0.3365 0.5000 [4 per cell]
5 Tc 0.0000 0.1665 0.2527 [8 per cell]
6 Tc 0.0000 0.5000 0.2530 [4 per cell]



# 2
This record from the Alexandria database describes HfPaTc after structural relaxation. The functional is PBE-GGA.

Properties
- Formation enthalpy at 0 K: 0.005 eV/atom
- Magnetic moment: 0.0 μB per cell
- Offset from the most stable computed form: 181 meV per atom

a = 4.1688 Å, b = 4.1688 Å, c = 27.3445 Å
α = 90.00°, β = 90.00°, γ = 120.00°
Space group R-3m (No. 166, hexagonal axes)
Unique sites:
1 Hf 0.0000 0.0000 0.1303 [6 per cell]
2 Pa 0.0000 0.0000 0.3732 [6 per cell]
3 Tc 0.0000 0.0000 0.2470 [6 per cell]



| no. | DFT total energy (eV for the cell shown) |
| --- | --- |
| 1 | -252.6 |
| 2 | -178.8 |